Material: PuI2Cl6
Method: DFT, PBE
State: optimized geometry

The final energy is -4.113 eV per atom. The space-group type is C2/c (15). The magnetization comes out at 8.14 μB/cell. For the formation energy from raw total energies, the calculation gives -91 kJ/mol of atoms.

POSCAR file:
```
PuI2Cl6
1.0
7.8675 -6.6136 0.0000
7.8675 6.6136 0.0000
-1.6404 0.0000 7.5964
Pu I Cl
2 4 12
direct
0.0693 0.9308 0.7500 Pu
0.9308 0.0693 0.2500 Pu
0.3661 0.3665 0.5695 I
0.3665 0.3661 0.0695 I
0.6335 0.6339 0.9305 I
0.6339 0.6335 0.4305 I
0.0181 0.1557 0.5945 Cl
0.0970 0.6973 0.8145 Cl
0.1557 0.0181 0.0945 Cl
0.2396 0.4921 0.3191 Cl
0.3027 0.9030 0.6855 Cl
0.4921 0.2396 0.8191 Cl
0.5079 0.7604 0.1809 Cl
0.6973 0.0970 0.3145 Cl
0.7604 0.5079 0.6809 Cl
0.8443 0.9819 0.9055 Cl
0.9030 0.3027 0.1855 Cl
0.9819 0.8443 0.4055 Cl
```